1.
A geometry-optimized Ca2GeH6 structure, computed with PBE.

Cell and atoms, written as POSCAR:
```
Ca2GeH6
1.0
0.000 3.688 3.688
3.688 0.000 3.688
3.688 3.688 0.000
Ca Ge H
2 1 6
Direct
0.250 0.250 0.250
0.750 0.750 0.750
0.000 0.000 0.000
0.252 0.252 0.748
0.252 0.748 0.252
0.252 0.748 0.748
0.748 0.252 0.252
0.748 0.252 0.748
0.748 0.748 0.252
```

Computed properties:
Energy ... -28.68 eV for the cell shown
Total magnetic moment ... 0.0 μB per formula unit

=====

2.
A geometry-optimized CaGeH2 structure, computed with PBE.

Cell and atoms, written as POSCAR:
```
CaGeH2
1.0
5.907 0.000 0.000
0.000 5.907 0.000
0.000 0.000 5.907
Ca Ge H
4 4 8
Direct
0.000 0.000 0.000
0.000 0.500 0.500
0.500 0.000 0.500
0.500 0.500 0.000
0.000 0.000 0.500
0.000 0.500 0.000
0.500 0.000 0.000
0.500 0.500 0.500
0.250 0.250 0.250
0.250 0.250 0.750
0.250 0.750 0.250
0.250 0.750 0.750
0.750 0.250 0.250
0.750 0.250 0.750
0.750 0.750 0.250
0.750 0.750 0.750
```

Computed properties:
Energy ... -51.64 eV for the cell shown
Total magnetic moment ... 0.0 μB per formula unit
Energy above the most stable polymorph in this dataset ... 8.2 kJ/mol of atoms

=====

3.
A geometry-optimized Ca5Ge2H2 structure, computed with PBE.

Cell and atoms, written as POSCAR:
```
Ca5Ge2H2
1.0
-9.808 3.359 3.252
9.808 -3.359 3.252
9.808 3.359 -3.252
Ca Ge H
10 4 4
Direct
0.211 0.409 0.088
0.211 0.624 0.303
0.249 0.010 0.259
0.249 0.490 0.739
0.321 0.124 0.912
0.321 0.909 0.697
0.735 0.584 0.651
0.751 0.510 0.261
0.751 0.990 0.741
0.932 0.084 0.349
0.735 0.136 0.383
0.735 0.852 0.099
0.753 0.352 0.617
0.753 0.636 0.901
0.114 0.945 0.669
0.251 0.251 0.000
0.251 0.751 0.500
0.276 0.445 0.331
```

Computed properties:
Energy ... -61.37 eV for the cell shown
Total magnetic moment ... 0.0 μB per formula unit

=====

4.
A geometry-optimized Ca6Ge3H2 structure, computed with PBE.

Cell and atoms, written as POSCAR:
```
Ca6Ge3H2
1.0
-2.448 2.448 11.056
2.448 -2.448 11.056
2.448 2.448 -11.056
Ca Ge H
6 3 2
Direct
0.082 0.582 0.500
0.204 0.204 0.000
0.418 0.918 0.500
0.582 0.082 0.500
0.796 0.796 0.000
0.918 0.418 0.500
0.338 0.338 0.000
0.500 0.500 0.000
0.662 0.662 0.000
0.098 0.098 0.000
0.902 0.902 0.000
```

Computed properties:
Energy ... -38.70 eV for the cell shown
Total magnetic moment ... 0.0 μB per formula unit

=====

5.
A geometry-optimized Ca2GeH structure, computed with PBE.

Cell and atoms, written as POSCAR:
```
Ca2GeH
1.0
7.049 0.000 0.000
0.000 7.049 0.000
0.000 0.000 7.049
Ca Ge H
8 4 4
Direct
0.250 0.250 0.250
0.250 0.250 0.750
0.250 0.750 0.250
0.250 0.750 0.750
0.750 0.250 0.250
0.750 0.250 0.750
0.750 0.750 0.250
0.750 0.750 0.750
0.000 0.000 0.000
0.000 0.500 0.500
0.500 0.000 0.500
0.500 0.500 0.000
0.000 0.000 0.500
0.000 0.500 0.000
0.500 0.000 0.000
0.500 0.500 0.500
```

Computed properties:
Energy ... -51.78 eV for the cell shown
Total magnetic moment ... 0.0 μB per formula unit
Energy above the most stable polymorph in this dataset ... 23.4 kJ/mol of atoms

=====

6.
A geometry-optimized Ca4Ge2H structure, computed with PBE.

Cell and atoms, written as POSCAR:
```
Ca4Ge2H
1.0
4.535 0.000 0.000
0.000 4.535 0.000
0.000 0.000 16.636
Ca Ge H
8 4 2
Direct
0.000 0.000 0.182
0.000 0.000 0.818
0.000 0.500 0.000
0.000 0.500 0.500
0.500 0.000 0.000
0.500 0.000 0.500
0.500 0.500 0.318
0.500 0.500 0.682
0.000 0.000 0.368
0.000 0.000 0.632
0.500 0.500 0.132
0.500 0.500 0.868
0.000 0.000 0.000
0.500 0.500 0.500
```

Computed properties:
Energy ... -48.74 eV for the cell shown
Total magnetic moment ... 0.0 μB per formula unit
Energy above the most stable polymorph in this dataset ... 0.0 kJ/mol of atoms

=====

7.
A geometry-optimized Ca8Ge2H3 structure, computed with PBE.

Cell and atoms, written as POSCAR:
```
Ca8Ge2H3
1.0
6.873 -4.920 0.000
6.873 4.920 0.000
-2.020 0.000 5.064
Ca Ge H
8 2 3
Direct
0.089 0.089 0.353
0.165 0.617 0.159
0.356 0.356 0.628
0.383 0.835 0.841
0.617 0.165 0.159
0.644 0.644 0.372
0.835 0.383 0.841
0.911 0.911 0.647
0.220 0.220 0.989
0.780 0.780 0.011
0.149 0.851 0.500
0.500 0.500 0.000
0.851 0.149 0.500
```

Computed properties:
Energy ... -39.72 eV for the cell shown
Total magnetic moment ... 1.3 μB per formula unit

=====

8.
A geometry-optimized Ca2GeH structure, computed with PBE.

Cell and atoms, written as POSCAR:
```
Ca2GeH
1.0
6.931 0.000 0.000
0.000 6.931 0.000
0.000 0.000 7.479
Ca Ge H
8 4 4
Direct
0.170 0.750 0.125
0.250 0.170 0.875
0.250 0.330 0.375
0.330 0.750 0.625
0.670 0.250 0.625
0.750 0.670 0.375
0.750 0.830 0.875
0.830 0.250 0.125
0.000 0.000 0.500
0.000 0.500 0.750
0.500 0.000 0.250
0.500 0.500 0.000
0.000 0.000 0.000
0.000 0.500 0.250
0.500 0.000 0.750
0.500 0.500 0.500
```

Computed properties:
Energy ... -53.36 eV for the cell shown
Total magnetic moment ... 0.0 μB per formula unit
Energy above the most stable polymorph in this dataset ... 13.9 kJ/mol of atoms

=====

9.
A geometry-optimized Ca2GeH structure, computed with PBE.

Cell and atoms, written as POSCAR:
```
Ca2GeH
1.0
6.049 0.000 0.000
0.000 5.724 0.000
-5.261 0.000 10.197
Ca Ge H
8 4 4
Direct
0.003 0.238 0.411
0.003 0.762 0.911
0.329 0.232 0.855
0.329 0.768 0.355
0.671 0.232 0.645
0.671 0.768 0.145
0.997 0.238 0.089
0.997 0.762 0.589
0.478 0.272 0.357
0.478 0.728 0.857
0.522 0.272 0.143
0.522 0.728 0.643
0.045 0.176 0.630
0.045 0.824 0.130
0.955 0.176 0.870
0.955 0.824 0.370
```

Computed properties:
Energy ... -55.67 eV for the cell shown
Total magnetic moment ... 0.0 μB per formula unit
Energy above the most stable polymorph in this dataset ... 0.0 kJ/mol of atoms

=====

10.
A geometry-optimized CaGe2H2 structure, computed with PBE.

Cell and atoms, written as POSCAR:
```
CaGe2H2
1.0
6.128 0.000 0.000
0.000 6.128 0.000
0.000 0.000 4.085
Ca Ge H
2 4 4
Direct
0.000 0.000 0.000
0.500 0.500 0.000
0.156 0.344 0.500
0.344 0.844 0.500
0.656 0.156 0.500
0.844 0.656 0.500
0.168 0.332 0.000
0.332 0.832 0.000
0.668 0.168 0.000
0.832 0.668 0.000
```

Computed properties:
Energy ... -36.29 eV for the cell shown
Total magnetic moment ... 0.0 μB per formula unit

=====

11.
A geometry-optimized Ca4Ge2H structure, computed with PBE.

Cell and atoms, written as POSCAR:
```
Ca4Ge2H
1.0
6.783 0.000 0.000
0.000 6.871 0.000
-2.397 0.000 7.734
Ca Ge H
8 4 2
Direct
0.005 0.009 0.246
0.005 0.491 0.246
0.411 0.250 0.587
0.437 0.250 0.127
0.563 0.750 0.873
0.589 0.750 0.413
0.995 0.509 0.754
0.995 0.991 0.754
0.219 0.750 0.547
0.253 0.750 0.069
0.747 0.250 0.931
0.781 0.250 0.453
0.234 0.250 0.302
0.766 0.750 0.698
```

Computed properties:
Energy ... -48.51 eV for the cell shown
Total magnetic moment ... 0.0 μB per formula unit
Energy above the most stable polymorph in this dataset ... 1.6 kJ/mol of atoms

=====

12.
A geometry-optimized Ca2GeH structure, computed with PBE.

Cell and atoms, written as POSCAR:
```
Ca2GeH
1.0
5.104 0.000 0.000
0.000 5.104 0.000
0.000 0.000 3.343
Ca Ge H
2 1 1
Direct
0.000 0.500 0.000
0.500 0.000 0.000
0.000 0.000 0.500
0.500 0.500 0.500
```

Computed properties:
Energy ... -13.29 eV for the cell shown
Total magnetic moment ... 0.0 μB per formula unit
Energy above the most stable polymorph in this dataset ... 15.1 kJ/mol of atoms

=====

13.
A geometry-optimized CaLa2GeH structure, computed with PBE.

Cell and atoms, written as POSCAR:
```
CaLa2GeH
1.0
4.879 0.000 0.000
0.000 4.879 0.000
0.000 0.000 4.995
Ca La Ge H
1 2 1 1
Direct
0.000 0.000 0.000
0.000 0.500 0.500
0.500 0.000 0.500
0.500 0.500 0.000
0.000 0.000 0.500
```

Computed properties:
Energy ... -21.82 eV for the cell shown
Total magnetic moment ... 0.0 μB per formula unit

=====

14.
A geometry-optimized LiCa2GeH structure, computed with PBE.

Cell and atoms, written as POSCAR:
```
LiCa2GeH
1.0
4.841 0.000 0.000
0.000 4.841 0.000
0.000 0.000 4.083
Li Ca Ge H
1 2 1 1
Direct
0.000 0.000 0.000
0.000 0.500 0.500
0.500 0.000 0.500
0.500 0.500 0.000
0.000 0.000 0.500
```

Computed properties:
Energy ... -16.38 eV for the cell shown
Total magnetic moment ... 0.0 μB per formula unit

=====

15.
A geometry-optimized CaMg2GeH structure, computed with PBE.

Cell and atoms, written as POSCAR:
```
CaMg2GeH
1.0
4.456 0.000 0.000
0.000 4.456 0.000
0.000 0.000 4.505
Ca Mg Ge H
1 2 1 1
Direct
0.000 0.000 0.000
0.000 0.500 0.500
0.500 0.000 0.500
0.500 0.500 0.000
0.000 0.000 0.500
```

Computed properties:
Energy ... -14.41 eV for the cell shown
Total magnetic moment ... 0.0 μB per formula unit

=====

16.
A geometry-optimized Ca2MgGeH structure, computed with PBE.

Cell and atoms, written as POSCAR:
```
Ca2MgGeH
1.0
4.723 0.000 0.000
0.000 4.723 0.000
0.000 0.000 4.487
Ca Mg Ge H
2 1 1 1
Direct
0.000 0.500 0.000
0.500 0.000 0.000
0.000 0.000 0.500
0.500 0.500 0.500
0.000 0.000 0.000
```

Computed properties:
Energy ... -15.36 eV for the cell shown
Total magnetic moment ... 0.0 μB per formula unit

=====

17.
A geometry-optimized Na2CaGeH structure, computed with PBE.

Cell and atoms, written as POSCAR:
```
Na2CaGeH
1.0
4.531 0.000 0.000
0.000 4.531 0.000
0.000 0.000 4.994
Na Ca Ge H
2 1 1 1
Direct
0.000 0.500 0.000
0.500 0.000 0.000
0.000 0.000 0.500
0.500 0.500 0.500
0.000 0.000 0.000
```

Computed properties:
Energy ... -13.78 eV for the cell shown
Total magnetic moment ... 0.0 μB per formula unit

=====

18.
A geometry-optimized CaNiGeH structure, computed with PBE.

Cell and atoms, written as POSCAR:
```
CaNiGeH
1.0
4.000 0.000 0.000
0.000 4.000 0.000
0.000 0.000 7.745
Ca Ni Ge H
2 2 2 2
Direct
0.250 0.250 0.151
0.750 0.750 0.849
0.250 0.750 0.500
0.750 0.250 0.500
0.250 0.250 0.660
0.750 0.750 0.340
0.250 0.750 0.000
0.750 0.250 0.000
```

Computed properties:
Energy ... -35.73 eV for the cell shown
Total magnetic moment ... 0.0 μB per formula unit

=====

19.
A geometry-optimized Ca2GeHO structure, computed with PBE.

Cell and atoms, written as POSCAR:
```
Ca2GeHO
1.0
4.826 0.000 0.000
0.000 4.826 0.000
0.000 0.000 4.183
Ca Ge H O
2 1 1 1
Direct
0.000 0.500 0.000
0.500 0.000 0.000
0.000 0.000 0.500
0.500 0.500 0.500
0.000 0.000 0.000
```

Computed properties:
Energy ... -20.26 eV for the cell shown
Total magnetic moment ... 0.0 μB per formula unit

=====

20.
A geometry-optimized Ca3GeH12S2O17 structure, computed with PBE.

Cell and atoms, written as POSCAR:
```
Ca3GeH12S2O17
1.0
8.596 0.000 0.000
-4.298 7.445 0.000
0.000 0.000 10.938
Ca Ge H S O
6 2 24 4 34
Direct
0.152 0.304 0.250
0.152 0.848 0.250
0.304 0.152 0.750
0.696 0.848 0.250
0.848 0.152 0.750
0.848 0.696 0.750
0.000 0.000 0.000
0.000 0.000 0.500
0.107 0.553 0.681
0.107 0.553 0.819
0.156 0.312 0.559
0.156 0.312 0.941
0.156 0.844 0.559
0.156 0.844 0.941
0.312 0.156 0.059
0.312 0.156 0.441
0.447 0.553 0.681
0.447 0.553 0.819
0.447 0.893 0.681
0.447 0.893 0.819
0.553 0.107 0.181
0.553 0.107 0.319
0.553 0.447 0.181
0.553 0.447 0.319
0.688 0.844 0.559
0.688 0.844 0.941
0.844 0.156 0.059
0.844 0.156 0.441
0.844 0.688 0.059
0.844 0.688 0.441
0.893 0.447 0.181
0.893 0.447 0.319
0.333 0.667 0.026
0.333 0.667 0.474
0.667 0.333 0.526
0.667 0.333 0.974
0.021 0.510 0.750
0.101 0.202 0.610
0.101 0.202 0.890
0.101 0.899 0.610
0.101 0.899 0.890
0.202 0.101 0.110
0.202 0.101 0.390
0.239 0.477 0.069
0.239 0.477 0.431
0.239 0.761 0.069
0.239 0.761 0.431
0.333 0.667 0.611
0.333 0.667 0.889
0.477 0.239 0.569
0.477 0.239 0.931
0.490 0.510 0.750
0.490 0.979 0.750
0.510 0.021 0.250
0.510 0.490 0.250
0.523 0.761 0.069
0.523 0.761 0.431
0.667 0.333 0.111
0.667 0.333 0.389
0.761 0.239 0.569
0.761 0.239 0.931
0.761 0.523 0.569
0.761 0.523 0.931
0.798 0.899 0.610
0.798 0.899 0.890
0.899 0.101 0.110
0.899 0.101 0.390
0.899 0.798 0.110
0.899 0.798 0.390
0.979 0.490 0.250
```

Computed properties:
Energy ... -401.33 eV for the cell shown
Total magnetic moment ... 0.0 μB per formula unit

=====

21.
A geometry-optimized Ca2GeHOs structure, computed with PBE.

Cell and atoms, written as POSCAR:
```
Ca2GeHOs
1.0
4.876 0.000 0.000
0.000 4.876 0.000
0.000 0.000 3.706
Ca Ge H Os
2 1 1 1
Direct
0.000 0.500 0.000
0.500 0.000 0.000
0.000 0.000 0.500
0.500 0.500 0.000
0.500 0.500 0.500
```

Computed properties:
Energy ... -23.50 eV for the cell shown
Total magnetic moment ... 0.0 μB per formula unit